Entry 1:
First-principles (PBE-GGA) data for crystalline Ho4BiOs at its relaxed geometry, as listed in Alexandria.

Results
Calculated formation energy (kcal/mol of atoms): -11.1

Cell lengths 8.0671, 8.0671, 6.1569 Å; angles 102.47, 102.47, 112.57 degrees
Element x y z (fractional)
Ho (0.0581, 0.7250, 0.9343)
Ho (0.2035, 0.3444, 0.6477)
Ho (0.2750, 0.9419, 0.5657)
Ho (0.3444, 0.2035, 0.1477)
Ho (0.6556, 0.7965, 0.8523)
Ho (0.7250, 0.0581, 0.4343)
Ho (0.7965, 0.6556, 0.3523)
Ho (0.9419, 0.2750, 0.0657)
Bi (0.3723, 0.6277, 0.2500)
Bi (0.6277, 0.3723, 0.7500)
Os (0.0005, 0.9995, 0.2500)
Os (0.9995, 0.0005, 0.7500)


Entry 2:
First-principles (PBE-GGA) data for crystalline Na3PuRh2S6 at its relaxed geometry, as listed in Alexandria.

Results
Energy relative to the elements, uncorrected (eV per atom): -0.990

Cell lengths 6.3075, 6.3075, 7.0700 Å; angles 98.65, 98.65, 119.99 degrees
Element x y z (fractional)
Na (0.0000, 0.0000, 0.0000)
Na (0.3401, 0.6599, 0.0000)
Na (0.6599, 0.3401, 0.0000)
Pu (0.5000, 0.5000, 0.5000)
Rh (0.1671, 0.8329, 0.5000)
Rh (0.8329, 0.1671, 0.5000)
S (0.0633, 0.4303, 0.2927)
S (0.2032, 0.2032, 0.7076)
S (0.4303, 0.0633, 0.2927)
S (0.5697, 0.9367, 0.7073)
S (0.7968, 0.7968, 0.2924)
S (0.9367, 0.5697, 0.7073)


Entry 3:
First-principles (PBE-GGA) data for crystalline La7Pm12Dy at its relaxed geometry, as listed in Alexandria.

Results
Calculated formation energy (kcal/mol of atoms): 13.0
Energy above the most stable polymorph in this dataset (meV per atom): 380

Cell lengths 10.0350, 10.0350, 10.0350 Å; angles 109.47, 109.47, 109.47 degrees
Element x y z (fractional)
La (0.0000, 0.0000, 0.5000)
La (0.0000, 0.5000, 0.0000)
La (0.0000, 0.5000, 0.5000)
La (0.5000, 0.0000, 0.0000)
La (0.5000, 0.0000, 0.5000)
La (0.5000, 0.5000, 0.0000)
La (0.5000, 0.5000, 0.5000)
Pm (0.0014, 0.7540, 0.2474)
Pm (0.2460, 0.2474, 0.4934)
Pm (0.2460, 0.7526, 0.9986)
Pm (0.2474, 0.0014, 0.7540)
Pm (0.2474, 0.4934, 0.2460)
Pm (0.4934, 0.2460, 0.2474)
Pm (0.5066, 0.7540, 0.7526)
Pm (0.7526, 0.5066, 0.7540)
Pm (0.7526, 0.9986, 0.2460)
Pm (0.7540, 0.2474, 0.0014)
Pm (0.7540, 0.7526, 0.5066)
Pm (0.9986, 0.2460, 0.7526)
Dy (0.0000, 0.0000, 0.0000)


Entry 4:
First-principles (PBE-GGA) data for crystalline LaSm5In5 at its relaxed geometry, as listed in Alexandria.

Results
Calculated formation energy (kcal/mol of atoms): -4.6

Cell lengths 8.9080, 8.9080, 6.9302 Å; angles 95.29, 95.29, 39.37 degrees
Element x y z (fractional)
La (0.0000, 0.0000, 0.0000)
Sm (0.0000, 0.0000, 0.5000)
Sm (0.3202, 0.3202, 0.0580)
Sm (0.3611, 0.3611, 0.5681)
Sm (0.6389, 0.6389, 0.4319)
Sm (0.6798, 0.6798, 0.9420)
In (0.1684, 0.1684, 0.2798)
In (0.1736, 0.1736, 0.7193)
In (0.5000, 0.5000, 0.0000)
In (0.8264, 0.8264, 0.2807)
In (0.8316, 0.8316, 0.7202)


Entry 5:
First-principles (PBE-GGA) data for crystalline Pm2PrF8 at its relaxed geometry, as listed in Alexandria.

Results
Energy above the most stable polymorph in this dataset (meV per atom): 77
Energy relative to the elements, uncorrected (eV per atom): -3.803

Cell lengths 6.7483, 6.7483, 6.7483 Å; angles 146.55, 120.61, 69.91 degrees
Element x y z (fractional)
Pm (0.1868, 0.1868, 0.0000)
Pm (0.8132, 0.8132, 0.0000)
Pr (0.5000, 0.5000, 0.0000)
F (0.0515, 0.3385, 0.7130)
F (0.1910, 0.0000, 0.1910)
F (0.3517, 0.8517, 0.5000)
F (0.3746, 0.6615, 0.7130)
F (0.6254, 0.3385, 0.2870)
F (0.6483, 0.1483, 0.5000)
F (0.8090, 0.0000, 0.8090)
F (0.9485, 0.6615, 0.2870)


Entry 6:
First-principles (PBE-GGA) data for crystalline TlHgAsO5 at its relaxed geometry, as listed in Alexandria.

Results
Energy relative to the elements, uncorrected (eV per atom): -0.826

Cell lengths 6.0100, 6.0100, 7.7566 Å; angles 105.75, 105.75, 99.99 degrees
Element x y z (fractional)
Tl (0.0000, 0.0000, 0.0000)
Tl (0.0000, 0.0000, 0.5000)
Hg (0.3293, 0.6707, 0.7500)
Hg (0.6707, 0.3293, 0.2500)
As (0.3353, 0.6647, 0.2500)
As (0.6647, 0.3353, 0.7500)
O (0.0996, 0.9004, 0.7500)
O (0.1342, 0.6722, 0.3712)
O (0.2935, 0.3762, 0.0970)
O (0.3278, 0.8658, 0.1288)
O (0.3762, 0.2935, 0.5970)
O (0.6238, 0.7065, 0.4030)
O (0.6722, 0.1342, 0.8712)
O (0.7065, 0.6238, 0.9030)
O (0.8658, 0.3278, 0.6288)
O (0.9004, 0.0996, 0.2500)


Entry 7:
First-principles (PBE-GGA) data for crystalline NiTe2Ru at its relaxed geometry, as listed in Alexandria.

Results
Energy above the most stable polymorph in this dataset (meV per atom): 279
Energy relative to the elements, uncorrected (eV per atom): 0.278

Cell lengths 4.6712, 4.6712, 4.6712 Å; angles 60.00, 60.00, 60.00 degrees
Element x y z (fractional)
Ni (0.0000, 0.0000, 0.0000)
Te (0.2500, 0.2500, 0.2500)
Te (0.7500, 0.7500, 0.7500)
Ru (0.5000, 0.5000, 0.5000)


Entry 8:
First-principles (PBE-GGA) data for crystalline La2HoSn at its relaxed geometry, as listed in Alexandria.

Results
Calculated formation energy (kcal/mol of atoms): -6.3
Energy above the most stable polymorph in this dataset (meV per atom): 175

Cell lengths 5.6226, 5.6226, 5.6226 Å; angles 60.00, 60.00, 60.00 degrees
Element x y z (fractional)
La (0.2500, 0.2500, 0.2500)
La (0.7500, 0.7500, 0.7500)
Ho (0.0000, 0.0000, 0.0000)
Sn (0.5000, 0.5000, 0.5000)


Entry 9:
First-principles (PBE-GGA) data for crystalline BeCd6F12 at its relaxed geometry, as listed in Alexandria.

Results
Energy relative to the elements, uncorrected (eV per atom): -2.105

Cell lengths 6.5549, 6.5549, 6.5549 Å; angles 98.66, 98.66, 98.66 degrees
Element x y z (fractional)
Be (0.0000, 0.0000, 0.0000)
Cd (0.1320, 0.6078, 0.2836)
Cd (0.2836, 0.1320, 0.6078)
Cd (0.3922, 0.7164, 0.8680)
Cd (0.6078, 0.2836, 0.1320)
Cd (0.7164, 0.8680, 0.3922)
Cd (0.8680, 0.3922, 0.7164)
F (0.0232, 0.7223, 0.9385)
F (0.0615, 0.9768, 0.2777)
F (0.1772, 0.4422, 0.5918)
F (0.2777, 0.0615, 0.9768)
F (0.4082, 0.8228, 0.5578)
F (0.4422, 0.5918, 0.1772)
F (0.5578, 0.4082, 0.8228)
F (0.5918, 0.1772, 0.4422)
F (0.7223, 0.9385, 0.0232)
F (0.8228, 0.5578, 0.4082)
F (0.9385, 0.0232, 0.7223)
F (0.9768, 0.2777, 0.0615)


Entry 10:
First-principles (PBE-GGA) data for crystalline TbNd5Ho5 at its relaxed geometry, as listed in Alexandria.

Results
Calculated formation energy (kcal/mol of atoms): 6.0

Cell lengths 9.9443, 9.9443, 7.0452 Å; angles 110.57, 110.57, 35.08 degrees
Element x y z (fractional)
Tb (0.0000, 0.0000, 0.0000)
Nd (0.1760, 0.1760, 0.4207)
Nd (0.1760, 0.1760, 0.9322)
Nd (0.5000, 0.5000, 0.0000)
Nd (0.8240, 0.8240, 0.0678)
Nd (0.8240, 0.8240, 0.5793)
Ho (0.0000, 0.0000, 0.5000)
Ho (0.3310, 0.3310, 0.8298)
Ho (0.3778, 0.3778, 0.3763)
Ho (0.6222, 0.6222, 0.6237)
Ho (0.6690, 0.6690, 0.1702)


Entry 11:
First-principles (PBE-GGA) data for crystalline Mn2FeB2 at its relaxed geometry, as listed in Alexandria.

Results
Calculated formation energy (kcal/mol of atoms): -7.2
Energy above the most stable polymorph in this dataset (meV per atom): 68

Cell lengths 4.2582, 4.2582, 4.2582 Å; angles 138.25, 115.80, 79.55 degrees
Element x y z (fractional)
Mn (0.2040, 0.2040, 0.0000)
Mn (0.7960, 0.7960, 0.0000)
Fe (0.5000, 0.0000, 0.5000)
B (0.1916, 0.5000, 0.6916)
B (0.8084, 0.5000, 0.3084)


Entry 12:
First-principles (PBE-GGA) data for crystalline GaCoAg2Ge at its relaxed geometry, as listed in Alexandria.

Results
Calculated formation energy (kcal/mol of atoms): 17.1
Energy above the most stable polymorph in this dataset (meV per atom): 65

Cell lengths 4.8158, 4.8158, 4.4825 Å; angles 90.00, 90.00, 90.00 degrees
Element x y z (fractional)
Ga (0.0000, 0.0000, 0.0000)
Co (0.0000, 0.0000, 0.5000)
Ag (0.0000, 0.5000, 0.0000)
Ag (0.5000, 0.0000, 0.0000)
Ge (0.5000, 0.5000, 0.5000)


no.,energy (eV per atom)
1,-6.051
2,-5.803
3,-4.239
4,-4.037
5,-6.462
6,-4.840
7,-5.057
8,-4.884
9,-3.772
10,-4.410
11,-8.343
12,-3.348